## CaDyHgRu (PBE)

Data for an optimized crystal structure of CaDyHgRu.

The formation enthalpy at 0 K is -0.190 eV per atom. The value obtained for the volume is 22.52 Å³ per atom.

The space group is F-43m (No. 216) and the conventional cell measures 7.116, 7.116 and 7.116 Å, with angles of 90.00, 90.00 and 90.00 degrees. The distinct sites, in fractional coordinates, are Ca at (0.000, 0.000, 0.000), Dy at (0.000, 0.000, 0.500), Hg at (0.250, 0.250, 0.750) and Ru at (0.250, 0.250, 0.250).

---

## Ho2Tm5Sc2 (PBE)

Data for an optimized crystal structure of Ho2Tm5Sc2.

The calculation puts the energy above the most stable polymorph in this dataset at 0.99 eV/f.u. The formation enthalpy at 0 K is 0.217 eV per atom. The value obtained for the volume is 29.82 Å³ per atom.

The space group is Ima2 (No. 46) and the conventional cell measures 19.210, 8.189 and 6.824 Å, with angles of 90.00, 90.00 and 90.00 degrees. The distinct sites, in fractional coordinates, are Ho at (0.000, 0.000, 0.000), Ho at (0.250, 0.054, 0.971), Tm at (0.110, 0.230, 0.719), Tm at (0.166, 0.750, 0.218), Tm at (0.250, 0.047, 0.467) and Sc at (0.042, 0.630, 0.971).

---

## Ba2Cd15Ag2 (PBE)

Data for an optimized crystal structure of Ba2Cd15Ag2.

The formation enthalpy at 0 K is -0.172 eV per atom. The value obtained for the volume is 24.65 Å³ per atom.

The space group is R-3m (No. 166, hexagonal axes) and the conventional cell measures 10.3102, 10.3102 and 15.2608 Å, with angles of 90.00, 90.00 and 120.00 degrees. The distinct sites, in fractional coordinates, are Ba at (0.0000, 0.0000, 0.1624), Cd at (0.0000, 0.2883, 0.5000), Cd at (0.0000, 0.5000, 0.0000), Cd at (0.0016, 0.5008, 0.6514) and Ag at (0.0000, 0.0000, 0.4000).

---

## Sr4DyPb5 (PBE)

Data for an optimized crystal structure of Sr4DyPb5.

The formation enthalpy at 0 K is -0.496 eV per atom. The value obtained for the volume is 34.09 Å³ per atom.

The space group is P4/mmm (No. 123) and the conventional cell measures 4.036, 4.036 and 20.931 Å, with angles of 90.00, 90.00 and 90.00 degrees. The distinct sites, in fractional coordinates, are Sr at (0.000, 0.000, 0.106), Sr at (0.000, 0.000, 0.314), Dy at (0.000, 0.000, 0.500), Pb at (0.500, 0.500, 0.000), Pb at (0.500, 0.500, 0.213) and Pb at (0.500, 0.500, 0.420).

---

## CaIn8Pd2 (PBE)

Data for an optimized crystal structure of CaIn8Pd2.

The formation enthalpy at 0 K is -0.114 eV per atom. The value obtained for the volume is 29.36 Å³ per atom.

The space group is P4/mmm (No. 123) and the conventional cell measures 6.418, 6.418 and 7.842 Å, with angles of 90.00, 90.00 and 90.00 degrees. The distinct sites, in fractional coordinates, are Ca at (0.000, 0.000, 0.000), In at (0.257, 0.257, 0.288) and Pd at (0.000, 0.500, 0.500).

---

## TiMn2Zn (PBE)

Data for an optimized crystal structure of TiMn2Zn.

The formation enthalpy at 0 K is -0.061 eV per atom. The value obtained for the volume is 13.50 Å³ per atom.

The space group is P4/mmm (No. 123) and the conventional cell measures 3.047, 3.047 and 5.816 Å, with angles of 90.00, 90.00 and 90.00 degrees. The distinct sites, in fractional coordinates, are Ti at (0.000, 0.000, 0.000), Mn at (0.500, 0.500, 0.248) and Zn at (0.000, 0.000, 0.500).